{"formula": "K2AgHg", "functional": "PBE", "state": "relaxed", "ef_mev_per_atom": -8, "cell": [[5.271, 0.000, 0.000], [2.636, 4.565, 0.000], [2.636, 1.522, 7.295]], "species": ["K", "K", "Ag", "Hg"], "fractional_positions": [[0.073, 0.073, 0.782], [0.261, 0.261, 0.218], [0.654, 0.654, 0.038], [0.512, 0.512, 0.463]]}

{"formula": "CrFe2Au", "functional": "PBE", "state": "relaxed", "ef_mev_per_atom": 320, "cell": [[8.798, 0.044, 0.026], [8.380, 2.681, 0.026], [8.380, 1.329, 2.328]], "species": ["Au", "Cr", "Fe", "Fe"], "fractional_positions": [[0.250, 0.250, 0.250], [0.750, 0.750, 0.750], [0.008, 0.008, 0.008], [0.492, 0.492, 0.492]]}

{"formula": "ReMoIr", "functional": "PBE", "state": "relaxed", "ef_mev_per_atom": 64, "e_above_lowest_polymorph_mev_per_atom": 246, "cell": [[4.427, 0.000, 0.000], [-2.214, 3.834, 0.000], [0.000, 0.000, 2.701]], "species": ["Ir", "Mo", "Re"], "fractional_positions": [[0.000, 0.000, 0.000], [0.667, 0.333, 0.500], [0.333, 0.667, 0.500]]}

{"formula": "SmBC", "functional": "PBE", "state": "relaxed", "ef_mev_per_atom": -190, "e_above_lowest_polymorph_mev_per_atom": 215, "cell": [[-3.918, -1.447, 0.871], [0.306, -2.123, -2.150], [0.854, -0.595, 2.853]], "species": ["C", "B", "Sm"], "fractional_positions": [[0.167, 0.333, 0.667], [0.167, 0.000, 0.000], [0.667, 0.667, 0.333]]}

{"formula": "ScCuTeW2", "functional": "PBE", "state": "relaxed", "raw_formation_energy_ev_per_atom": 2.243, "cell": [[-3.550, 2.743, -1.522], [-2.842, -4.235, -1.002], [-1.769, 0.148, 4.392]], "species": ["Sc", "Te", "Cu", "W", "W"], "fractional_positions": [[0.000, 0.000, 0.000], [0.000, 0.500, 0.000], [0.500, 0.500, 0.500], [0.000, 0.000, 0.500], [0.500, 0.000, 0.000]]}

{"formula": "Sm6GaTe3As2", "functional": "PBE", "state": "relaxed", "raw_formation_energy_ev_per_atom": -1.354, "cell": [[4.276, 0.000, 0.000], [0.000, 8.825, 0.218], [-2.138, -2.643, 9.165]], "species": ["Sm", "Sm", "Sm", "Sm", "Sm", "Sm", "Ga", "Te", "Te", "Te", "As", "As"], "fractional_positions": [[0.340, 0.903, 0.679], [0.673, 0.567, 0.346], [0.660, 0.097, 0.321], [0.005, 0.238, 0.010], [0.995, 0.762, 0.990], [0.327, 0.433, 0.654], [0.500, 0.000, 0.000], [0.500, 0.500, 0.000], [0.832, 0.168, 0.664], [0.168, 0.832, 0.336], [0.833, 0.666, 0.666], [0.167, 0.334, 0.334]]}

{"formula": "Ti2CoHAu", "functional": "PBE", "state": "relaxed", "energy_ev_per_atom": -6.22, "cell": [[-3.186, -1.467, -2.027], [2.428, -2.607, -1.929], [-0.564, -2.547, 2.731]], "species": ["Co", "Au", "H", "Ti", "Ti"], "fractional_positions": [[0.000, 0.000, 0.500], [0.500, 0.500, 0.500], [0.000, 0.000, 0.000], [0.000, 0.500, 0.000], [0.500, 0.000, 0.000]]}

{"formula": "Sm6Ga2SBr3", "functional": "PBE", "state": "relaxed", "raw_formation_energy_ev_per_atom": -1.137, "cell": [[-7.101, 1.385, -0.063], [3.508, -1.155, -6.222], [-0.193, -7.161, 2.622]], "species": ["Sm", "Sm", "Sm", "Sm", "Sm", "Sm", "Ga", "Ga", "S", "Br", "Br", "Br"], "fractional_positions": [[0.929, 0.601, 0.787], [0.741, 0.741, 0.212], [0.071, 0.399, 0.213], [0.601, 0.929, 0.787], [0.259, 0.259, 0.788], [0.399, 0.071, 0.213], [0.333, 0.667, 0.000], [0.667, 0.333, 0.000], [0.000, 0.000, 0.000], [0.170, 0.830, 0.500], [0.830, 0.170, 0.500], [0.500, 0.500, 0.500]]}

{"formula": "Re2SbTeO", "functional": "PBE", "state": "relaxed", "raw_formation_energy_ev_per_atom": 0.935, "cell": [[-1.257, 3.746, -1.193], [-3.442, -2.225, -3.359], [-2.875, -0.022, 2.961]], "species": ["Re", "Re", "Te", "O", "Sb"], "fractional_positions": [[0.000, 0.000, 0.500], [0.500, 0.000, 0.000], [0.500, 0.500, 0.500], [0.000, 0.000, 0.000], [0.000, 0.500, 0.000]]}

{"formula": "Ni2SbTe2", "functional": "PBE", "state": "relaxed", "raw_formation_energy_ev_per_atom": -0.271, "e_above_lowest_polymorph_mev_per_atom": 0, "cell": [[3.937, 0.000, 0.000], [-1.969, 3.410, 0.000], [0.000, 0.000, 15.964]], "species": ["Ni", "Ni", "Ni", "Ni", "Sb", "Sb", "Te", "Te", "Te", "Te"], "fractional_positions": [[0.000, 0.000, 0.167], [0.000, 0.000, 0.667], [0.000, 0.000, 0.833], [0.000, 0.000, 0.333], [0.333, 0.667, 0.250], [0.667, 0.333, 0.750], [0.333, 0.667, 0.591], [0.667, 0.333, 0.091], [0.667, 0.333, 0.409], [0.333, 0.667, 0.909]]}

{"formula": "SbTeAu", "functional": "PBE", "state": "relaxed", "raw_formation_energy_ev_per_atom": -0.100, "cell": [[-6.069, -6.167, -0.289], [1.221, -0.902, -6.396], [4.208, -4.268, 2.701]], "species": ["Sb", "Sb", "Sb", "Sb", "Te", "Te", "Te", "Te", "Au", "Au", "Au", "Au"], "fractional_positions": [[0.614, 0.867, 0.625], [0.386, 0.133, 0.375], [0.114, 0.633, 0.375], [0.886, 0.367, 0.625], [0.609, 0.340, 0.168], [0.391, 0.660, 0.832], [0.891, 0.840, 0.168], [0.109, 0.160, 0.832], [0.014, 0.238, 0.243], [0.486, 0.738, 0.243], [0.986, 0.762, 0.757], [0.514, 0.262, 0.757]]}

{"formula": "RbZr2Al", "functional": "PBE", "state": "relaxed", "ef_mev_per_atom": 1066, "cell": [[-4.740, 1.984, -0.337], [-1.006, -1.590, 4.793], [0.707, 9.399, 6.032]], "species": ["Rb", "Rb", "Zr", "Zr", "Zr", "Zr", "Al", "Al"], "fractional_positions": [[0.000, 0.000, 0.000], [0.750, 0.250, 0.500], [0.440, 0.125, 0.250], [0.310, 0.625, 0.250], [0.375, 0.560, 0.750], [0.875, 0.690, 0.750], [0.500, 0.500, 0.000], [0.250, 0.750, 0.500]]}

{"formula": "AcPaHg2O8", "functional": "PBE", "state": "relaxed", "raw_formation_energy_ev_per_atom": -1.514, "cell": [[-5.490, 1.357, 3.029], [-0.170, -6.333, -1.010], [5.113, 1.711, 3.477]], "species": ["Ac", "Pa", "Hg", "Hg", "O", "O", "O", "O", "O", "O", "O", "O"], "fractional_positions": [[0.000, 0.000, 0.000], [0.250, 0.750, 0.500], [0.750, 0.250, 0.500], [0.500, 0.500, 0.000], [0.357, 0.017, 0.341], [0.284, 0.486, 0.202], [0.284, 0.081, 0.798], [0.676, 0.017, 0.659], [0.919, 0.716, 0.202], [0.983, 0.324, 0.341], [0.983, 0.643, 0.659], [0.514, 0.716, 0.798]]}

{"formula": "Mn2FeSi", "functional": "PBE", "state": "relaxed", "raw_formation_energy_ev_per_atom": -0.201, "cell": [[-3.163, 3.360, 0.562], [-4.332, -0.805, -1.482], [3.403, -1.436, 2.822]], "species": ["Fe", "Mn", "Mn", "Si"], "fractional_positions": [[0.750, 0.250, 0.500], [0.009, 0.009, 0.000], [0.491, 0.491, 0.000], [0.250, 0.750, 0.500]]}

{"formula": "Sc4TaOs", "functional": "PBE", "state": "relaxed", "ef_mev_per_atom": 601, "cell": [[2.692, -0.858, 4.697], [3.675, 3.665, 1.762], [-1.099, 3.089, 4.393]], "species": ["Sc", "Sc", "Sc", "Sc", "Ta", "Os"], "fractional_positions": [[0.875, 0.375, 0.375], [0.375, 0.375, 0.875], [0.375, 0.875, 0.375], [0.375, 0.375, 0.375], [0.750, 0.750, 0.750], [0.000, 0.000, 0.000]]}

{"formula": "NaSiF5", "functional": "PBE", "state": "relaxed", "raw_formation_energy_ev_per_atom": -3.074, "cell": [[-4.285, 3.091, 1.007], [-3.742, -1.293, -3.640], [-5.189, -3.978, 3.146]], "species": ["Na", "Na", "Si", "Si", "F", "F", "F", "F", "F", "F", "F", "F", "F", "F"], "fractional_positions": [[0.512, 0.488, 0.250], [0.488, 0.512, 0.750], [0.000, 0.000, 0.000], [0.000, 0.000, 0.500], [0.796, 0.781, 0.106], [0.257, 0.731, 0.489], [0.781, 0.796, 0.606], [0.978, 0.022, 0.250], [0.269, 0.743, 0.011], [0.731, 0.257, 0.989], [0.022, 0.978, 0.750], [0.219, 0.204, 0.394], [0.743, 0.269, 0.511], [0.204, 0.219, 0.894]]}

{"formula": "RbCeSn2Br8", "functional": "PBE", "state": "relaxed", "raw_formation_energy_ev_per_atom": -1.261, "cell": [[7.371, 0.091, 0.247], [0.147, 6.899, 0.136], [0.323, 0.194, 9.535]], "species": ["Rb", "Ce", "Sn", "Sn", "Br", "Br", "Br", "Br", "Br", "Br", "Br", "Br"], "fractional_positions": [[0.000, 0.000, 0.500], [0.000, 0.000, 0.000], [0.485, 0.490, 0.747], [0.515, 0.510, 0.253], [0.170, 0.762, 0.216], [0.673, 0.757, 0.029], [0.854, 0.260, 0.219], [0.830, 0.238, 0.784], [0.327, 0.243, 0.971], [0.146, 0.740, 0.781], [0.623, 0.730, 0.461], [0.377, 0.270, 0.539]]}

{"formula": "La2CdGaRu", "functional": "PBE", "state": "relaxed", "ef_mev_per_atom": -342, "cell": [[-1.410, 3.989, -3.428], [3.061, -2.264, -3.893], [-3.867, -2.653, -1.496]], "species": ["Ru", "Cd", "Ga", "La", "La"], "fractional_positions": [[0.000, 0.000, 0.000], [0.500, 0.500, 0.500], [0.000, 0.000, 0.500], [0.000, 0.500, 0.000], [0.500, 0.000, 0.000]]}

{"formula": "Cs3TlI4", "functional": "PBE", "state": "relaxed", "raw_formation_energy_ev_per_atom": -1.287, "e_above_lowest_polymorph_mev_per_atom": 34, "cell": [[7.691, 0.000, 0.000], [0.000, 11.064, 0.000], [0.000, 0.000, 13.141]], "species": ["Cs", "Cs", "Cs", "Cs", "Cs", "Cs", "Tl", "Tl", "I", "I", "I", "I", "I", "I", "I", "I"], "fractional_positions": [[0.561, 0.839, 0.000], [0.062, 0.670, 0.246], [0.562, 0.330, 0.254], [0.061, 0.161, 0.500], [0.562, 0.330, 0.746], [0.062, 0.670, 0.754], [0.042, 0.174, 0.000], [0.542, 0.826, 0.500], [0.061, 0.858, 0.000], [0.603, 0.177, 0.000], [0.062, 0.322, 0.238], [0.562, 0.678, 0.262], [0.103, 0.823, 0.500], [0.561, 0.142, 0.500], [0.562, 0.678, 0.738], [0.062, 0.322, 0.762]]}

{"formula": "TbPm2PrNd", "functional": "PBE", "state": "relaxed", "ef_mev_per_atom": 375, "cell": [[-5.954, 3.417, -2.248], [1.222, -3.041, -7.860], [-3.858, -3.254, 5.273]], "species": ["Tb", "Tb", "Pm", "Pm", "Pm", "Pm", "Pr", "Pr", "Nd", "Nd"], "fractional_positions": [[0.750, 0.729, 0.457], [0.250, 0.271, 0.543], [0.500, 0.313, 0.000], [0.000, 0.687, 0.000], [0.500, 0.687, 0.000], [0.000, 0.313, 0.000], [0.250, 0.732, 0.463], [0.750, 0.268, 0.537], [0.250, 0.995, 0.990], [0.750, 0.005, 0.010]]}

| no. | calculated volume (Å³/f.u.) |
| --- | --- |
| 1 | 175.6 |
| 2 | 53.5 |
| 3 | 45.9 |
| 4 | 34.1 |
| 5 | 116.6 |
| 6 | 348.3 |
| 7 | 62.0 |
| 8 | 328.4 |
| 9 | 90.3 |
| 10 | 107.2 |
| 11 | 91.8 |
| 12 | 140.3 |
| 13 | 202.4 |
| 14 | 43.1 |
| 15 | 116.4 |
| 16 | 91.2 |
| 17 | 484.0 |
| 18 | 146.0 |
| 19 | 559.1 |
| 20 | 182.3 |